DFT (PBE-GGA) results for a relaxed structure of PaCo2Pt.

The structure in POSCAR format:
```
PaCo2Pt
1.0
-1.458 1.622 3.034
2.540 -2.103 2.345
2.725 2.977 -0.282
Co Pt Pa
2 1 1
Direct
0.000 0.500 0.000 Co
0.000 0.000 0.500 Co
0.500 0.000 0.000 Pt
0.500 0.500 0.500 Pa
```

Properties
- Offset from the most stable computed form: 0.0 kJ per mole of atoms
- Electronic total energy: -32.09 eV per cell
- Magnetic moment: 0.6 μB per formula unit